a.
Below is an optimized crystal structure of V2Te6Rh, with properties calculated at the GGA-PBE level.

a b c (Å): 9.472 9.472 6.314
angles (deg): 94.94 94.94 76.87
Fractional coordinates of all 18 atoms:
1 V 0.193 0.200 0.208
2 V 0.200 0.193 0.708
3 V 0.800 0.807 0.292
4 V 0.807 0.800 0.792
5 Te 0.032 0.681 0.563
6 Te 0.042 0.775 0.072
7 Te 0.225 0.958 0.428
8 Te 0.298 0.376 0.982
9 Te 0.319 0.968 0.937
10 Te 0.376 0.298 0.482
11 Te 0.624 0.702 0.518
12 Te 0.681 0.032 0.063
13 Te 0.702 0.624 0.018
14 Te 0.775 0.042 0.572
15 Te 0.958 0.225 0.928
16 Te 0.968 0.319 0.437
17 Rh 0.048 0.952 0.750
18 Rh 0.952 0.048 0.250

N(E_F) (states/eV/f.u.): 4.916
Mass density (g/cm³): 5.9

b.
Below is an optimized crystal structure of V2Te6Rh, with properties calculated at the GGA-PBE level.

a b c (Å): 11.671 11.671 5.931
angles (deg): 90.00 90.00 120.00
Fractional coordinates of all 27 atoms:
1 V 0.000 0.353 0.000
2 V 0.000 0.647 0.000
3 V 0.353 0.000 0.000
4 V 0.353 0.353 0.000
5 V 0.647 0.000 0.000
6 V 0.647 0.647 0.000
7 Te 0.099 0.549 0.699
8 Te 0.114 0.228 0.768
9 Te 0.114 0.886 0.768
10 Te 0.225 0.451 0.220
11 Te 0.225 0.775 0.220
12 Te 0.228 0.114 0.232
13 Te 0.451 0.225 0.780
14 Te 0.451 0.549 0.699
15 Te 0.451 0.901 0.699
16 Te 0.549 0.099 0.301
17 Te 0.549 0.451 0.301
18 Te 0.549 0.775 0.220
19 Te 0.772 0.886 0.768
20 Te 0.775 0.225 0.780
21 Te 0.775 0.549 0.780
22 Te 0.886 0.114 0.232
23 Te 0.886 0.772 0.232
24 Te 0.901 0.451 0.301
25 Rh 0.000 0.000 0.000
26 Rh 0.333 0.667 0.478
27 Rh 0.667 0.333 0.522

N(E_F) (states/eV/f.u.): 4.298
Mass density (g/cm³): 6.9

Top of the stability list: b, leading by 1.7 kJ/mol of atoms.

a.
Below is an optimized crystal structure of VTe2Rh, with properties calculated at the GGA-PBE level.

a b c (Å): 8.889 8.889 8.889
angles (deg): 21.96 21.96 21.96
Fractional coordinates of all 4 atoms:
1 V 0.000 0.000 0.000
2 Te 0.403 0.403 0.403
3 Te 0.597 0.597 0.597
4 Rh 0.500 0.500 0.500

N(E_F) (states/eV/f.u.): 5.073
Mass density (g/cm³): 7.9

b.
Below is an optimized crystal structure of VTe2Rh, with properties calculated at the GGA-PBE level.

a b c (Å): 4.340 5.510 7.554
angles (deg): 90.00 91.64 90.00
Fractional coordinates of all 8 atoms:
1 V 0.000 0.000 0.000
2 V 0.000 0.500 0.000
3 Te 0.017 0.250 0.337
4 Te 0.490 0.250 0.799
5 Te 0.510 0.750 0.201
6 Te 0.983 0.750 0.663
7 Rh 0.493 0.750 0.856
8 Rh 0.507 0.250 0.144

N(E_F) (states/eV/f.u.): 3.011
Mass density (g/cm³): 7.5

c.
Below is an optimized crystal structure of VTe2Rh, with properties calculated at the GGA-PBE level.

a b c (Å): 4.748 4.748 4.748
angles (deg): 60.00 60.00 60.00
Fractional coordinates of all 4 atoms:
1 V 0.000 0.000 0.000
2 Te 0.250 0.250 0.250
3 Te 0.750 0.750 0.750
4 Rh 0.500 0.500 0.500

N(E_F) (states/eV/f.u.): 5.879
Mass density (g/cm³): 9.0

d.
Below is an optimized crystal structure of VTe2Rh, with properties calculated at the GGA-PBE level.

a b c (Å): 7.528 7.528 7.528
angles (deg): 133.77 133.77 67.44
Fractional coordinates of all 8 atoms:
1 V 0.000 0.000 0.000
2 V 0.750 0.250 0.500
3 Te 0.132 0.625 0.007
4 Te 0.375 0.382 0.507
5 Te 0.618 0.125 0.993
6 Te 0.875 0.868 0.493
7 Rh 0.250 0.750 0.500
8 Rh 0.500 0.500 0.000

N(E_F) (states/eV/f.u.): 4.645
Mass density (g/cm³): 6.2

Top of the stability list: b, leading by 33.7 kJ/mol of atoms.

a.
Below is an optimized crystal structure of Te3RhW, with properties calculated at the GGA-PBE level.

a b c (Å): 5.063 5.063 5.063
angles (deg): 90.00 90.00 90.00
Fractional coordinates of all 5 atoms:
1 Te 0.000 0.000 0.500
2 Te 0.000 0.500 0.000
3 Te 0.500 0.000 0.000
4 Rh 0.000 0.000 0.000
5 W 0.500 0.500 0.500

N(E_F) (states/eV/f.u.): 6.325
Mass density (g/cm³): 8.6

b.
Below is an optimized crystal structure of Te3RhW, with properties calculated at the GGA-PBE level.

a b c (Å): 5.232 5.232 5.232
angles (deg): 90.00 90.00 90.00
Fractional coordinates of all 5 atoms:
1 Te 0.000 0.000 0.500
2 Te 0.000 0.500 0.000
3 Te 0.500 0.000 0.000
4 Rh 0.500 0.500 0.500
5 W 0.000 0.000 0.000

N(E_F) (states/eV/f.u.): 5.497
Mass density (g/cm³): 7.8

Top of the stability list: b, leading by 17.1 kJ/mol of atoms.

a.
Below is an optimized crystal structure of Y4TeRh, with properties calculated at the GGA-PBE level.

a b c (Å): 8.211 8.211 6.245
angles (deg): 106.19 106.19 112.29
Fractional coordinates of all 12 atoms:
1 Y 0.061 0.702 0.908
2 Y 0.211 0.342 0.696
3 Y 0.298 0.939 0.592
4 Y 0.342 0.211 0.196
5 Y 0.658 0.789 0.804
6 Y 0.702 0.061 0.408
7 Y 0.789 0.658 0.304
8 Y 0.939 0.298 0.092
9 Te 0.372 0.628 0.250
10 Te 0.628 0.372 0.750
11 Rh 0.002 0.998 0.750
12 Rh 0.998 0.002 0.250

N(E_F) (states/eV/f.u.): 7.653
Mass density (g/cm³): 5.8

b.
Below is an optimized crystal structure of Y4TeRh, with properties calculated at the GGA-PBE level.

a b c (Å): 8.253 3.985 19.491
angles (deg): 90.00 90.00 90.00
Fractional coordinates of all 24 atoms:
1 Y 0.006 0.250 0.069
2 Y 0.040 0.750 0.216
3 Y 0.139 0.750 0.648
4 Y 0.142 0.750 0.450
5 Y 0.358 0.250 0.950
6 Y 0.361 0.250 0.148
7 Y 0.460 0.250 0.716
8 Y 0.494 0.750 0.569
9 Y 0.506 0.250 0.431
10 Y 0.540 0.750 0.284
11 Y 0.639 0.750 0.852
12 Y 0.642 0.750 0.050
13 Y 0.858 0.250 0.550
14 Y 0.861 0.250 0.352
15 Y 0.960 0.250 0.784
16 Y 0.994 0.750 0.931
17 Te 0.242 0.250 0.311
18 Te 0.258 0.750 0.811
19 Te 0.742 0.250 0.189
20 Te 0.758 0.750 0.689
21 Rh 0.238 0.250 0.548
22 Rh 0.262 0.750 0.048
23 Rh 0.738 0.250 0.952
24 Rh 0.762 0.750 0.452

N(E_F) (states/eV/f.u.): 5.151
Mass density (g/cm³): 6.1

c.
Below is an optimized crystal structure of Y4TeRh, with properties calculated at the GGA-PBE level.

a b c (Å): 6.144 6.144 6.144
angles (deg): 60.00 60.00 60.00
Fractional coordinates of all 6 atoms:
1 Y 0.124 0.124 0.124
2 Y 0.124 0.124 0.627
3 Y 0.124 0.627 0.124
4 Y 0.627 0.124 0.124
5 Te 0.500 0.500 0.500
6 Rh 0.750 0.750 0.750

N(E_F) (states/eV/f.u.): 10.018
Mass density (g/cm³): 5.9

Top of the stability list: b, leading by 9.0 kJ/mol of atoms.

a.
Below is an optimized crystal structure of ZnTeRh2, with properties calculated at the GGA-PBE level.

a b c (Å): 4.311 4.311 3.477
angles (deg): 90.00 90.00 90.00
Fractional coordinates of all 4 atoms:
1 Zn 0.000 0.000 0.000
2 Te 0.500 0.500 0.000
3 Rh 0.000 0.500 0.500
4 Rh 0.500 0.000 0.500

N(E_F) (states/eV/f.u.): 3.335
Mass density (g/cm³): 10.2

b.
Below is an optimized crystal structure of ZnTeRh2, with properties calculated at the GGA-PBE level.

a b c (Å): 4.971 4.971 4.405
angles (deg): 102.74 102.74 38.32
Fractional coordinates of all 4 atoms:
1 Zn 0.000 0.000 0.000
2 Te 0.757 0.757 0.392
3 Rh 0.266 0.266 0.906
4 Rh 0.490 0.490 0.507

N(E_F) (states/eV/f.u.): 1.617
Mass density (g/cm³): 10.1

Top of the stability list: b, leading by 2.8 kJ/mol of atoms.

a.
Below is an optimized crystal structure of ZnTeRh2, with properties calculated at the GGA-PBE level.

a b c (Å): 3.220 3.220 6.262
angles (deg): 90.00 90.00 90.00
Fractional coordinates of all 4 atoms:
1 Zn 0.000 0.000 0.000
2 Te 0.000 0.000 0.500
3 Rh 0.500 0.500 0.233
4 Rh 0.500 0.500 0.767

N(E_F) (states/eV/f.u.): 2.973
Mass density (g/cm³): 10.2

b.
Below is an optimized crystal structure of ZnTeRh2, with properties calculated at the GGA-PBE level.

a b c (Å): 5.242 5.242 5.242
angles (deg): 137.50 137.50 61.67
Fractional coordinates of all 4 atoms:
1 Zn 0.000 0.000 0.000
2 Te 0.750 0.250 0.500
3 Rh 0.250 0.750 0.500
4 Rh 0.500 0.500 0.000

N(E_F) (states/eV/f.u.): 4.082
Mass density (g/cm³): 10.2

c.
Below is an optimized crystal structure of ZnTeRh2, with properties calculated at the GGA-PBE level.

a b c (Å): 4.496 4.496 4.496
angles (deg): 60.00 60.00 60.00
Fractional coordinates of all 4 atoms:
1 Zn 0.000 0.000 0.000
2 Te 0.500 0.500 0.500
3 Rh 0.250 0.250 0.250
4 Rh 0.750 0.750 0.750

N(E_F) (states/eV/f.u.): 6.011
Mass density (g/cm³): 10.3

d.
Below is an optimized crystal structure of ZnTeRh2, with properties calculated at the GGA-PBE level.

a b c (Å): 7.621 7.621 7.621
angles (deg): 24.87 24.87 24.87
Fractional coordinates of all 4 atoms:
1 Zn 0.000 0.000 0.000
2 Te 0.500 0.500 0.500
3 Rh 0.252 0.252 0.252
4 Rh 0.748 0.748 0.748

N(E_F) (states/eV/f.u.): 2.084
Mass density (g/cm³): 9.6

Top of the stability list: a, leading by 1.5 kJ/mol of atoms.

a.
Below is an optimized crystal structure of ZnTeRh3, with properties calculated at the GGA-PBE level.

a b c (Å): 4.811 4.811 4.811
angles (deg): 90.00 90.00 90.00
Fractional coordinates of all 5 atoms:
1 Zn 0.000 0.000 0.000
2 Te 0.500 0.500 0.500
3 Rh 0.000 0.500 0.500
4 Rh 0.500 0.000 0.500
5 Rh 0.500 0.500 0.000

N(E_F) (states/eV/f.u.): 7.247
Mass density (g/cm³): 7.5

b.
Below is an optimized crystal structure of ZnTeRh3, with properties calculated at the GGA-PBE level.

a b c (Å): 4.582 4.582 4.582
angles (deg): 90.00 90.00 90.00
Fractional coordinates of all 5 atoms:
1 Zn 0.000 0.000 0.000
2 Te 0.500 0.500 0.500
3 Rh 0.000 0.000 0.500
4 Rh 0.000 0.500 0.000
5 Rh 0.500 0.000 0.000

N(E_F) (states/eV/f.u.): 4.774
Mass density (g/cm³): 8.7

Top of the stability list: b, leading by 4.4 kJ/mol of atoms.

a.
Below is an optimized crystal structure of Zn2TeRh2, with properties calculated at the GGA-PBE level.

a b c (Å): 7.329 7.329 3.037
angles (deg): 90.00 90.00 90.00
Fractional coordinates of all 10 atoms:
1 Zn 0.122 0.378 0.000
2 Zn 0.378 0.878 0.000
3 Zn 0.622 0.122 0.000
4 Zn 0.878 0.622 0.000
5 Te 0.000 0.000 0.000
6 Te 0.500 0.500 0.000
7 Rh 0.172 0.672 0.500
8 Rh 0.328 0.172 0.500
9 Rh 0.672 0.828 0.500
10 Rh 0.828 0.328 0.500

N(E_F) (states/eV/f.u.): 2.582
Mass density (g/cm³): 9.5

b.
Below is an optimized crystal structure of Zn2TeRh2, with properties calculated at the GGA-PBE level.

a b c (Å): 7.245 7.245 3.124
angles (deg): 90.00 90.00 90.00
Fractional coordinates of all 10 atoms:
1 Zn 0.137 0.363 0.000
2 Zn 0.363 0.863 0.000
3 Zn 0.637 0.137 0.000
4 Zn 0.863 0.637 0.000
5 Te 0.000 0.000 0.500
6 Te 0.500 0.500 0.500
7 Rh 0.157 0.657 0.500
8 Rh 0.343 0.157 0.500
9 Rh 0.657 0.843 0.500
10 Rh 0.843 0.343 0.500

N(E_F) (states/eV/f.u.): 2.192
Mass density (g/cm³): 9.4

Top of the stability list: b, leading by 10.7 kJ/mol of atoms.

a.
Below is an optimized crystal structure of ZnTe3Rh, with properties calculated at the GGA-PBE level.

a b c (Å): 5.252 5.252 5.252
angles (deg): 90.00 90.00 90.00
Fractional coordinates of all 5 atoms:
1 Zn 0.000 0.000 0.000
2 Te 0.000 0.500 0.500
3 Te 0.500 0.000 0.500
4 Te 0.500 0.500 0.000
5 Rh 0.500 0.500 0.500

N(E_F) (states/eV/f.u.): 8.179
Mass density (g/cm³): 6.3

b.
Below is an optimized crystal structure of ZnTe3Rh, with properties calculated at the GGA-PBE level.

a b c (Å): 5.173 5.173 5.173
angles (deg): 90.00 90.00 90.00
Fractional coordinates of all 5 atoms:
1 Zn 0.000 0.000 0.000
2 Te 0.000 0.000 0.500
3 Te 0.000 0.500 0.000
4 Te 0.500 0.000 0.000
5 Rh 0.500 0.500 0.500

N(E_F) (states/eV/f.u.): 5.678
Mass density (g/cm³): 6.6

Top of the stability list: a, leading by 48.6 kJ/mol of atoms.

a.
Below is an optimized crystal structure of Zn2Te2Rh, with properties calculated at the GGA-PBE level.

a b c (Å): 7.146 7.146 3.899
angles (deg): 90.00 90.00 90.00
Fractional coordinates of all 10 atoms:
1 Zn 0.125 0.375 0.000
2 Zn 0.375 0.875 0.000
3 Zn 0.625 0.125 0.000
4 Zn 0.875 0.625 0.000
5 Te 0.191 0.691 0.500
6 Te 0.309 0.191 0.500
7 Te 0.691 0.809 0.500
8 Te 0.809 0.309 0.500
9 Rh 0.000 0.000 0.000
10 Rh 0.500 0.500 0.000

N(E_F) (states/eV/f.u.): 3.331
Mass density (g/cm³): 8.2

b.
Below is an optimized crystal structure of Zn2Te2Rh, with properties calculated at the GGA-PBE level.

a b c (Å): 7.056 7.056 7.056
angles (deg): 144.79 144.79 50.64
Fractional coordinates of all 5 atoms:
1 Zn 0.091 0.091 0.000
2 Zn 0.909 0.909 0.000
3 Te 0.250 0.750 0.500
4 Te 0.750 0.250 0.500
5 Rh 0.500 0.500 0.000

N(E_F) (states/eV/f.u.): 5.596
Mass density (g/cm³): 7.0

Top of the stability list: a, leading by 49.1 kJ/mol of atoms.